{
  "formula": "IrPt2Rh",
  "functional": "PBE-GGA",
  "state": "optimized geometry",
  "lattice": [[-1.522, 4.068, 1.959], [-2.255, -1.265, 0.875], [2.135, -1.143, 4.032]],
  "species": ["Ir", "Pt", "Pt", "Rh"],
  "frac_coords": [[0.500, 0.500, 0.500], [0.000, 0.255, 0.750], [0.000, 0.745, 0.250], [0.500, 0.000, 0.000]],
  "total_energy_ev_per_atom": -6.923,
  "total_magnetization_mub_per_fu": 0.000,
  "sg": "P2/m (10)"
}